Entry 1:
This record from Alexandria via LeMat-Bulk describes a geometry-optimized Sr2Cu3HgGe4 structure. The functional is PBE.

a b c (Å): 4.369 4.369 10.623
angles (deg): 90.00 90.00 90.00
Positions (direct):
Sr 0.000 0.500 0.244
Sr 0.500 0.000 0.756
Cu 0.000 0.500 0.878
Cu 0.500 0.000 0.122
Cu 0.500 0.500 0.500
Hg 0.000 0.000 0.500
Ge 0.000 0.000 0.000
Ge 0.000 0.500 0.647
Ge 0.500 0.000 0.353
Ge 0.500 0.500 0.000

Properties
DFT total energy	-3.7468	eV per atom
Fermi-level density of states	4.6	states/eV/f.u.
symmetry	P-4m2, No. 115
spin magnetization	0.0000	μB/atom
calculated formation energy	-0.3044	eV per atom
calculated volume	20.3	Å³/atom

***

Entry 2:
This record from Alexandria via LeMat-Bulk describes a geometry-optimized ZnAg3Br6 structure. The functional is PBE.

a b c (Å): 9.805 9.805 7.084
angles (deg): 100.72 100.72 104.64
Positions (direct):
Zn 0.212 0.788 0.500
Zn 0.788 0.212 0.000
Ag 0.105 0.234 0.444
Ag 0.234 0.105 0.944
Ag 0.356 0.594 0.131
Ag 0.594 0.356 0.631
Ag 0.652 0.806 0.666
Ag 0.806 0.652 0.166
Br 0.031 0.885 0.336
Br 0.162 0.528 0.341
Br 0.214 0.348 0.849
Br 0.216 0.828 0.847
Br 0.348 0.214 0.349
Br 0.444 0.859 0.393
Br 0.528 0.162 0.841
Br 0.557 0.656 0.929
Br 0.656 0.557 0.429
Br 0.828 0.216 0.347
Br 0.859 0.444 0.893
Br 0.885 0.031 0.836

Properties
DFT total energy	-2.4159	eV per atom
Fermi-level density of states	6.6	states/eV/f.u.
symmetry	Cc, No. 9
spin magnetization	0.0000	μB/atom
E_form (uncorrected)	-414	kJ/mol of formula units
relative energy among the computed polymorphs	0.0	meV/atom
calculated volume	31.4	Å³/atom

***

Entry 3:
This record from Alexandria via LeMat-Bulk describes a geometry-optimized CaReSb2 structure. The functional is PBE.

a b c (Å): 5.018 5.018 5.018
angles (deg): 60.00 60.00 60.00
Positions (direct):
Ca 0.000 0.000 0.000
Re 0.750 0.750 0.750
Sb 0.250 0.250 0.250
Sb 0.500 0.500 0.500

Properties
DFT total energy	-5.1000	eV per atom
Fermi-level density of states	4.7	states/eV/f.u.
symmetry	F-43m, No. 216
spin magnetization	0.1350	μB/atom
E_form (uncorrected)	221	kJ/mol of formula units
relative energy among the computed polymorphs	600.8	meV/atom
calculated volume	22.3	Å³/atom

***

Entry 4:
This record from Alexandria via LeMat-Bulk describes a geometry-optimized K3Sn2Pt2 structure. The functional is PBE.

a b c (Å): 6.961 8.655 14.278
angles (deg): 90.00 90.00 90.00
Positions (direct):
K 0.125 0.108 0.096
K 0.125 0.108 0.404
K 0.125 0.392 0.596
K 0.125 0.392 0.904
K 0.331 0.696 0.750
K 0.331 0.804 0.250
K 0.669 0.196 0.750
K 0.669 0.304 0.250
K 0.875 0.608 0.096
K 0.875 0.608 0.404
K 0.875 0.892 0.596
K 0.875 0.892 0.904
Sn 0.205 0.074 0.750
Sn 0.205 0.426 0.250
Sn 0.436 0.750 0.000
Sn 0.436 0.750 0.500
Sn 0.564 0.250 0.000
Sn 0.564 0.250 0.500
Sn 0.795 0.574 0.750
Sn 0.795 0.926 0.250
Pt 0.379 0.019 0.590
Pt 0.379 0.019 0.910
Pt 0.379 0.481 0.090
Pt 0.379 0.481 0.410
Pt 0.621 0.519 0.590
Pt 0.621 0.519 0.910
Pt 0.621 0.981 0.090
Pt 0.621 0.981 0.410

Properties
DFT total energy	-3.7016	eV per atom
Fermi-level density of states	3.8	states/eV/f.u.
symmetry	Pbcm, No. 57
spin magnetization	0.0000	μB/atom
calculated formation energy	-0.3617	eV per atom
calculated volume	30.7	Å³/atom

***

Entry 5:
This record from Alexandria via LeMat-Bulk describes a geometry-optimized Sr2PrNpN4 structure. The functional is PBE.

a b c (Å): 6.271 3.647 6.366
angles (deg): 90.00 109.20 90.00
Positions (direct):
Sr 0.000 0.000 0.000
Sr 0.500 0.500 0.000
Pr 0.000 0.500 0.500
Np 0.500 0.000 0.500
N 0.280 0.000 0.698
N 0.282 0.500 0.292
N 0.718 0.500 0.708
N 0.720 0.000 0.302

Properties
DFT total energy	-7.8459	eV per atom
Fermi-level density of states	5.1	states/eV/f.u.
symmetry	P2/m, No. 10
spin magnetization	0.2441	μB/atom
E_form (uncorrected)	-809	kJ/mol of formula units
calculated volume	17.2	Å³/atom

***

Entry 6:
This record from Alexandria via LeMat-Bulk describes a geometry-optimized LaTb2PrNd5 structure. The functional is PBE.

a b c (Å): 10.214 10.214 10.214
angles (deg): 128.35 128.35 76.05
Positions (direct):
La 0.250 0.250 0.000
La 0.750 0.750 0.000
Tb 0.119 0.619 0.738
Tb 0.381 0.119 0.500
Tb 0.619 0.881 0.500
Tb 0.881 0.381 0.262
Pr 0.250 0.750 0.500
Pr 0.750 0.250 0.500
Nd 0.000 0.000 0.000
Nd 0.064 0.168 0.500
Nd 0.168 0.668 0.103
Nd 0.332 0.436 0.500
Nd 0.436 0.936 0.103
Nd 0.500 0.500 0.000
Nd 0.564 0.064 0.897
Nd 0.668 0.564 0.500
Nd 0.832 0.332 0.897
Nd 0.936 0.832 0.500

Properties
DFT total energy	-4.4960	eV per atom
Fermi-level density of states	14.6	states/eV/f.u.
symmetry	I4/mcm, No. 140
spin magnetization	0.0000	μB/atom
calculated formation energy	0.2603	eV per atom
calculated volume	35.4	Å³/atom

***

Entry 7:
This record from Alexandria via LeMat-Bulk describes a geometry-optimized YZn2Os structure. The functional is PBE.

a b c (Å): 4.936 4.936 4.936
angles (deg): 130.19 130.19 73.10
Positions (direct):
Y 0.000 0.000 0.000
Zn 0.250 0.750 0.500
Zn 0.750 0.250 0.500
Os 0.500 0.500 0.000

Properties
DFT total energy	-5.1849	eV per atom
Fermi-level density of states	1.6	states/eV/f.u.
symmetry	I4/mmm, No. 139
spin magnetization	0.0000	μB/atom
calculated formation energy	-0.1244	eV per atom
relative energy among the computed polymorphs	0.0	meV/atom
calculated volume	17.1	Å³/atom

***

Entry 8:
This record from Alexandria via LeMat-Bulk describes a geometry-optimized KInAuF2 structure. The functional is PBE.

a b c (Å): 4.430 4.430 8.898
angles (deg): 90.00 90.00 90.00
Positions (direct):
K 0.000 0.000 0.000
In 0.000 0.000 0.500
Au 0.500 0.500 0.000
F 0.000 0.500 0.500
F 0.500 0.000 0.500

Properties
DFT total energy	-3.3210	eV per atom
Fermi-level density of states	1.1	states/eV/f.u.
symmetry	P4/mmm, No. 123
spin magnetization	0.0000	μB/atom
E_form (uncorrected)	-555	kJ/mol of formula units
calculated volume	34.9	Å³/atom

***

Entry 9:
This record from Alexandria via LeMat-Bulk describes a geometry-optimized Si23Hg structure. The functional is PBE.

a b c (Å): 10.257 10.257 10.257
angles (deg): 90.00 90.00 90.00
Positions (direct):
Si 0.000 0.117 0.308
Si 0.000 0.117 0.692
Si 0.000 0.250 0.500
Si 0.000 0.750 0.500
Si 0.000 0.883 0.308
Si 0.000 0.883 0.692
Si 0.117 0.308 0.000
Si 0.117 0.692 0.000
Si 0.184 0.184 0.184
Si 0.184 0.184 0.816
Si 0.184 0.816 0.184
Si 0.184 0.816 0.816
Si 0.192 0.383 0.500
Si 0.192 0.617 0.500
Si 0.250 0.500 0.000
Si 0.308 0.000 0.117
Si 0.308 0.000 0.883
Si 0.316 0.316 0.316
Si 0.316 0.316 0.684
Si 0.316 0.684 0.316
Si 0.316 0.684 0.684
Si 0.383 0.500 0.192
Si 0.383 0.500 0.808
Si 0.500 0.000 0.250
Si 0.500 0.000 0.750
Si 0.500 0.192 0.383
Si 0.500 0.192 0.617
Si 0.500 0.808 0.383
Si 0.500 0.808 0.617
Si 0.617 0.500 0.192
Si 0.617 0.500 0.808
Si 0.684 0.316 0.316
Si 0.684 0.316 0.684
Si 0.684 0.684 0.316
Si 0.684 0.684 0.684
Si 0.692 0.000 0.117
Si 0.692 0.000 0.883
Si 0.750 0.500 0.000
Si 0.808 0.383 0.500
Si 0.808 0.617 0.500
Si 0.816 0.184 0.184
Si 0.816 0.184 0.816
Si 0.816 0.816 0.184
Si 0.816 0.816 0.816
Si 0.883 0.308 0.000
Si 0.883 0.692 0.000
Hg 0.000 0.000 0.000
Hg 0.500 0.500 0.500

Properties
DFT total energy	-5.1405	eV per atom
symmetry	Pm-3n, No. 223
spin magnetization	0.0000	μB/atom
E_form (uncorrected)	160	kJ/mol of formula units
calculated volume	22.5	Å³/atom

***

Entry 10:
This record from Alexandria via LeMat-Bulk describes a geometry-optimized BaNa3Cr structure. The functional is PBE.

a b c (Å): 6.799 6.799 6.799
angles (deg): 90.00 90.00 90.00
Positions (direct):
Ba 0.000 0.000 0.000
Na 0.000 0.000 0.500
Na 0.000 0.500 0.000
Na 0.500 0.000 0.000
Cr 0.500 0.500 0.500

Properties
DFT total energy	-1.8544	eV per atom
Fermi-level density of states	5.9	states/eV/f.u.
symmetry	Pm-3m, No. 221
spin magnetization	0.8689	μB/atom
calculated formation energy	1.2462	eV per atom
relative energy among the computed polymorphs	710.1	meV/atom
calculated volume	62.9	Å³/atom

***

Entry 11:
This record from Alexandria via LeMat-Bulk describes a geometry-optimized TcSnSbBrF structure. The functional is PBE.

a b c (Å): 3.153 5.720 7.135
angles (deg): 102.37 100.09 96.15
Positions (direct):
Tc 0.000 0.000 0.000
Sn 0.535 0.344 0.904
Sb 0.397 0.719 0.688
Br 0.646 0.118 0.289
F 0.932 0.655 0.111

Properties
DFT total energy	-4.9103	eV per atom
Fermi-level density of states	0.8	states/eV/f.u.
symmetry	P1, No. 1
spin magnetization	0.0000	μB/atom
E_form (uncorrected)	-243	kJ/mol of formula units
relative energy among the computed polymorphs	86.0	meV/atom
calculated volume	24.5	Å³/atom

***

Entry 12:
This record from Alexandria via LeMat-Bulk describes a geometry-optimized TcAs2P structure. The functional is PBE.

a b c (Å): 7.353 7.353 7.353
angles (deg): 25.49 25.49 25.49
Positions (direct):
Tc 0.000 0.000 0.000
As 0.250 0.250 0.250
As 0.750 0.750 0.750
P 0.500 0.500 0.500

Properties
DFT total energy	-6.0710	eV per atom
Fermi-level density of states	2.4	states/eV/f.u.
symmetry	R-3m, No. 166
spin magnetization	0.0000	μB/atom
calculated formation energy	0.1978	eV per atom
calculated volume	16.2	Å³/atom

***

Entry 13:
This record from Alexandria via LeMat-Bulk describes a geometry-optimized SnHOs2 structure. The functional is PBE.

a b c (Å): 4.849 4.849 4.849
angles (deg): 144.96 123.80 67.97
Positions (direct):
Sn 0.000 0.000 0.000
H 0.572 0.572 0.000
Os 0.287 0.787 0.500
Os 0.706 0.206 0.500

Properties
DFT total energy	-6.9618	eV per atom
Fermi-level density of states	3.0	states/eV/f.u.
symmetry	Imm2, No. 44
spin magnetization	0.0000	μB/atom
relative energy among the computed polymorphs	151.1	meV/atom
calculated volume	13.4	Å³/atom

***

Entry 14:
This record from Alexandria via LeMat-Bulk describes a geometry-optimized Tb2ZnSi2Ir5 structure. The functional is PBE.

a b c (Å): 9.712 9.712 3.493
angles (deg): 90.00 90.00 90.00
Positions (direct):
Tb 0.175 0.325 0.000
Tb 0.325 0.825 0.000
Tb 0.675 0.175 0.000
Tb 0.825 0.675 0.000
Zn 0.000 0.000 0.000
Zn 0.500 0.500 0.000
Si 0.126 0.626 0.000
Si 0.374 0.126 0.000
Si 0.626 0.874 0.000
Si 0.874 0.374 0.000
Ir 0.000 0.500 0.500
Ir 0.067 0.790 0.500
Ir 0.210 0.067 0.500
Ir 0.290 0.567 0.500
Ir 0.433 0.290 0.500
Ir 0.500 0.000 0.500
Ir 0.567 0.710 0.500
Ir 0.710 0.433 0.500
Ir 0.790 0.933 0.500
Ir 0.933 0.210 0.500

Properties
DFT total energy	-7.3460	eV per atom
Fermi-level density of states	1.6	states/eV/f.u.
symmetry	P4/mbm, No. 127
spin magnetization	0.0000	μB/atom
E_form (uncorrected)	-750	kJ/mol of formula units
calculated volume	16.5	Å³/atom

***

Entry 15:
This record from Alexandria via LeMat-Bulk describes a geometry-optimized Pt2Au structure. The functional is PBE.

a b c (Å): 5.754 4.002 8.554
angles (deg): 90.00 90.00 90.00
Positions (direct):
Pt 0.115 0.250 0.085
Pt 0.134 0.250 0.751
Pt 0.366 0.750 0.251
Pt 0.385 0.750 0.585
Pt 0.615 0.250 0.415
Pt 0.634 0.250 0.749
Pt 0.866 0.750 0.249
Pt 0.885 0.750 0.915
Au 0.121 0.250 0.417
Au 0.379 0.750 0.917
Au 0.621 0.250 0.083
Au 0.879 0.750 0.583

Properties
DFT total energy	-5.0574	eV per atom
Fermi-level density of states	3.9	states/eV/f.u.
symmetry	Pnma, No. 62
spin magnetization	0.0000	μB/atom
calculated formation energy	0.0622	eV per atom
relative energy among the computed polymorphs	22.0	meV/atom
calculated volume	16.4	Å³/atom

***

Entry 16:
This record from Alexandria via LeMat-Bulk describes a geometry-optimized HgPd5Pb4 structure. The functional is PBE.

a b c (Å): 6.901 6.901 6.901
angles (deg): 98.93 98.93 133.60
Positions (direct):
Hg 0.000 0.000 0.000
Pd 0.005 0.619 0.082
Pd 0.499 0.499 0.000
Pd 0.537 0.922 0.918
Pd 0.619 0.537 0.614
Pd 0.922 0.005 0.386
Pb 0.250 0.987 0.654
Pb 0.333 0.597 0.346
Pb 0.597 0.250 0.263
Pb 0.987 0.333 0.737

Properties
DFT total energy	-4.2503	eV per atom
Fermi-level density of states	3.8	states/eV/f.u.
symmetry	I4, No. 79
spin magnetization	0.0000	μB/atom
calculated formation energy	-0.1404	eV per atom
calculated volume	21.9	Å³/atom

***

Entry 17:
This record from Alexandria via LeMat-Bulk describes a geometry-optimized Tb4Pm5Dy3 structure. The functional is PBE.

a b c (Å): 6.221 7.182 8.800
angles (deg): 90.05 90.13 90.14
Positions (direct):
Tb 0.166 0.000 0.165
Tb 0.334 0.249 0.834
Tb 0.666 0.751 0.166
Tb 0.834 0.000 0.835
Pm 0.000 0.250 0.500
Pm 0.000 0.750 0.500
Pm 0.168 0.500 0.165
Pm 0.500 0.000 0.500
Pm 0.832 0.500 0.835
Dy 0.333 0.751 0.834
Dy 0.500 0.500 0.500
Dy 0.667 0.249 0.166

Properties
DFT total energy	-4.6596	eV per atom
Fermi-level density of states	15.4	states/eV/f.u.
symmetry	P-1, No. 2
spin magnetization	0.0000	μB/atom
calculated formation energy	0.0137	eV per atom
relative energy among the computed polymorphs	0.0	meV/atom
calculated volume	32.8	Å³/atom

***

Entry 18:
This record from Alexandria via LeMat-Bulk describes a geometry-optimized Sm6HoEr2 structure. The functional is PBE.

a b c (Å): 7.619 7.619 6.013
angles (deg): 90.01 90.01 59.99
Positions (direct):
Sm 0.121 0.689 0.786
Sm 0.311 0.311 0.216
Sm 0.311 0.879 0.214
Sm 0.689 0.121 0.786
Sm 0.689 0.689 0.784
Sm 0.879 0.311 0.214
Ho 0.500 0.500 0.500
Er 0.166 0.166 0.719
Er 0.834 0.834 0.281

Properties
DFT total energy	-4.4370	eV per atom
Fermi-level density of states	13.3	states/eV/f.u.
symmetry	C2/m, No. 12
spin magnetization	0.0005	μB/atom
calculated formation energy	0.2317	eV per atom
relative energy among the computed polymorphs	214.1	meV/atom
calculated volume	33.6	Å³/atom

***

Entry 19:
This record from Alexandria via LeMat-Bulk describes a geometry-optimized NaTlPdPb structure. The functional is PBE.

a b c (Å): 3.508 3.508 7.859
angles (deg): 90.00 90.00 90.00
Positions (direct):
Na 0.000 0.000 0.000
Tl 0.500 0.500 0.278
Pd 0.000 0.000 0.499
Pb 0.500 0.500 0.699

Properties
DFT total energy	-3.3422	eV per atom
Fermi-level density of states	1.9	states/eV/f.u.
symmetry	P4mm, No. 99
spin magnetization	0.0000	μB/atom
calculated formation energy	-0.1956	eV per atom
relative energy among the computed polymorphs	0.0	meV/atom
calculated volume	24.2	Å³/atom

***

Entry 20:
This record from Alexandria via LeMat-Bulk describes a geometry-optimized Ac2SmAu structure. The functional is PBE.

a b c (Å): 10.653 10.653 10.653
angles (deg): 21.96 21.96 21.96
Positions (direct):
Ac 0.000 0.000 0.000
Ac 0.193 0.193 0.193
Sm 0.764 0.764 0.764
Au 0.596 0.596 0.596

Properties
DFT total energy	-4.3105	eV per atom
Fermi-level density of states	4.5	states/eV/f.u.
symmetry	R3m, No. 160
spin magnetization	0.0000	μB/atom
calculated formation energy	-0.2571	eV per atom
relative energy among the computed polymorphs	87.3	meV/atom
calculated volume	37.0	Å³/atom